The following is a DFT calculation (PBE) of an optimized crystal structure of CoIr2PbBr.

For the volume, the calculation gives 20.1 A^3/atom. Its total energy is -4.686 eV per atom.

a = 4.7863 Å, b = 4.7863 Å, c = 4.3915 Å
α = 90.00°, β = 90.00°, γ = 90.00°
Sites, in units of the cell vectors:
1 Co 0.0000 0.0000 0.0000
2 Ir 0.0000 0.5000 0.5000
3 Ir 0.5000 0.0000 0.5000
4 Pb 0.5000 0.5000 0.0000
5 Br 0.0000 0.0000 0.5000